This record from Alexandria describes a relaxed Li2FeGeO4 crystal. The functional is GGA-PBEsol.

Computed properties:
Space group: Pmn2_1, No. 31
Calculated volume in Å³ per cell: 173.0
Uncorrected formation energy in meV per atom: -1688

Unit cell a=6.367 b=5.396 c=5.036 alpha=90.00 beta=90.00 gamma=90.00
Fractional coordinates of all 16 atoms:
Li  0.248  0.165  0.000
Li  0.252  0.835  0.500
Li  0.748  0.835  0.500
Li  0.752  0.165  0.000
Fe  0.000  0.679  0.001
Fe  0.500  0.321  0.501
Ge  0.000  0.338  0.496
Ge  0.500  0.662  0.996
O  0.000  0.334  0.143
O  0.000  0.652  0.604
O  0.229  0.182  0.609
O  0.271  0.818  0.109
O  0.500  0.348  0.104
O  0.500  0.666  0.643
O  0.729  0.818  0.109
O  0.771  0.182  0.609



This record from Alexandria describes a relaxed Cs6Dy21S34Cl crystal. The functional is GGA-PBEsol.

Computed properties:
Space group: C2/m, No. 12
Calculated volume in Å³ per cell: 1663.0
Uncorrected formation energy in meV per atom: -2060

Unit cell a=12.902 b=12.902 c=12.908 alpha=114.38 beta=114.38 gamma=97.35
Fractional coordinates of all 62 atoms:
Cs  0.052  0.805  0.769
Cs  0.195  0.948  0.231
Cs  0.232  0.232  0.085
Cs  0.768  0.768  0.915
Cs  0.805  0.052  0.769
Cs  0.948  0.195  0.231
Dy  0.046  0.463  0.749
Dy  0.100  0.900  0.500
Dy  0.172  0.573  0.123
Dy  0.243  0.243  0.757
Dy  0.262  0.465  0.608
Dy  0.301  0.699  0.500
Dy  0.400  0.600  0.000
Dy  0.427  0.828  0.877
Dy  0.463  0.046  0.749
Dy  0.465  0.262  0.608
Dy  0.500  0.500  0.500
Dy  0.535  0.738  0.392
Dy  0.537  0.954  0.251
Dy  0.573  0.172  0.123
Dy  0.600  0.400  0.000
Dy  0.699  0.301  0.500
Dy  0.738  0.535  0.392
Dy  0.757  0.757  0.243
Dy  0.828  0.427  0.877
Dy  0.900  0.100  0.500
Dy  0.954  0.537  0.251
S  0.013  0.609  0.942
S  0.058  0.058  0.680
S  0.089  0.290  0.576
S  0.118  0.513  0.436
S  0.133  0.727  0.314
S  0.213  0.421  0.937
S  0.245  0.633  0.811
S  0.273  0.867  0.686
S  0.290  0.089  0.576
S  0.317  0.317  0.440
S  0.349  0.549  0.318
S  0.367  0.755  0.189
S  0.391  0.987  0.058
S  0.421  0.213  0.937
S  0.426  0.426  0.808
S  0.451  0.651  0.682
S  0.487  0.882  0.564
S  0.513  0.118  0.436
S  0.549  0.349  0.318
S  0.574  0.574  0.192
S  0.579  0.787  0.063
S  0.609  0.013  0.942
S  0.633  0.245  0.811
S  0.651  0.451  0.682
S  0.683  0.683  0.560
S  0.710  0.911  0.424
S  0.727  0.133  0.314
S  0.755  0.367  0.189
S  0.787  0.579  0.063
S  0.867  0.273  0.686
S  0.882  0.487  0.564
S  0.911  0.710  0.424
S  0.942  0.942  0.320
S  0.987  0.391  0.058
Cl  0.000  0.000  0.000



This record from Alexandria describes a relaxed OsPt2Cl crystal. The functional is GGA-PBEsol.

Computed properties:
Offset from the most stable computed form in eV/atom: 0.000
Space group: P4/mmm, No. 123
Calculated volume in Å³ per cell: 61.7
Uncorrected formation energy in meV per atom: 406

Unit cell a=2.823 b=2.823 c=7.742 alpha=90.00 beta=90.00 gamma=90.00
Fractional coordinates of all 4 atoms:
Os  0.000  0.000  0.000
Pt  0.500  0.500  0.231
Pt  0.500  0.500  0.769
Cl  0.000  0.000  0.500



This record from Alexandria describes a relaxed SbPd3Pb crystal. The functional is GGA-PBEsol.

Computed properties:
Space group: Pm-3m, No. 221
Calculated volume in Å³ per cell: 116.5
Uncorrected formation energy in meV per atom: 188

Unit cell a=4.884 b=4.884 c=4.884 alpha=90.00 beta=90.00 gamma=90.00
Fractional coordinates of all 5 atoms:
Sb  0.000  0.000  0.000
Pd  0.000  0.000  0.500
Pd  0.000  0.500  0.000
Pd  0.500  0.000  0.000
Pb  0.500  0.500  0.500



This record from Alexandria describes a relaxed CsRuRh3 crystal. The functional is GGA-PBEsol.

Computed properties:
Space group: Pm-3m, No. 221
Calculated volume in Å³ per cell: 108.9
ΔH_f (0 K) in kJ per mole of atoms: 264.4

Unit cell a=4.775 b=4.775 c=4.775 alpha=90.00 beta=90.00 gamma=90.00
Fractional coordinates of all 5 atoms:
Cs  0.000  0.000  0.000
Ru  0.500  0.500  0.500
Rh  0.000  0.000  0.500
Rh  0.000  0.500  0.000
Rh  0.500  0.000  0.000



This record from Alexandria describes a relaxed RbRhI2O crystal. The functional is GGA-PBEsol.

Computed properties:
Space group: P4/mmm, No. 123
Calculated volume in Å³ per cell: 127.4
Uncorrected formation energy in meV per atom: -663

Unit cell a=5.827 b=5.827 c=3.752 alpha=90.00 beta=90.00 gamma=90.00
Fractional coordinates of all 5 atoms:
Rb  0.000  0.000  0.000
Rh  0.500  0.500  0.500
I  0.000  0.500  0.500
I  0.500  0.000  0.500
O  0.500  0.500  0.000



This record from Alexandria describes a relaxed TiAg2I6O18 crystal. The functional is GGA-PBEsol.

Computed properties:
Space group: R-3, No. 148
Calculated volume in Å³ per cell: 370.2
Uncorrected formation energy in meV per atom: -597

Unit cell a=7.222 b=7.222 c=7.222 alpha=95.94 beta=95.94 gamma=95.94
Fractional coordinates of all 27 atoms:
Ti  0.000  0.000  0.000
Ag  0.311  0.311  0.311
Ag  0.689  0.689  0.689
I  0.162  0.777  0.382
I  0.223  0.618  0.838
I  0.382  0.162  0.777
I  0.618  0.838  0.223
I  0.777  0.382  0.162
I  0.838  0.223  0.618
O  0.068  0.814  0.810
O  0.130  0.563  0.214
O  0.186  0.190  0.932
O  0.190  0.932  0.186
O  0.192  0.555  0.581
O  0.214  0.130  0.563
O  0.419  0.808  0.445
O  0.437  0.786  0.870
O  0.445  0.419  0.808
O  0.555  0.581  0.192
O  0.563  0.214  0.130
O  0.581  0.192  0.555
O  0.786  0.870  0.437
O  0.808  0.445  0.419
O  0.810  0.068  0.814
O  0.814  0.810  0.068
O  0.870  0.437  0.786
O  0.932  0.186  0.190



This record from Alexandria describes a relaxed Co2Ge3S3 crystal. The functional is GGA-PBEsol.

Computed properties:
Space group: R-3, No. 148
Calculated volume in Å³ per cell: 498.3
Uncorrected formation energy in meV per atom: -524

Unit cell a=7.928 b=7.928 c=7.928 alpha=89.90 beta=89.90 gamma=89.90
Fractional coordinates of all 32 atoms:
Co  0.243  0.243  0.243
Co  0.243  0.740  0.746
Co  0.254  0.757  0.260
Co  0.260  0.254  0.757
Co  0.740  0.746  0.243
Co  0.746  0.243  0.740
Co  0.757  0.260  0.254
Co  0.757  0.757  0.757
Ge  0.001  0.665  0.151
Ge  0.151  0.001  0.665
Ge  0.166  0.349  0.501
Ge  0.335  0.849  0.999
Ge  0.349  0.501  0.166
Ge  0.499  0.834  0.651
Ge  0.501  0.166  0.349
Ge  0.651  0.499  0.834
Ge  0.665  0.151  0.001
Ge  0.834  0.651  0.499
Ge  0.849  0.999  0.335
Ge  0.999  0.335  0.849
S  0.003  0.345  0.149
S  0.149  0.003  0.345
S  0.155  0.649  0.499
S  0.345  0.149  0.003
S  0.351  0.501  0.845
S  0.499  0.155  0.649
S  0.501  0.845  0.351
S  0.649  0.499  0.155
S  0.655  0.851  0.997
S  0.845  0.351  0.501
S  0.851  0.997  0.655
S  0.997  0.655  0.851



This record from Alexandria describes a relaxed Tl3In crystal. The functional is GGA-PBEsol.

Computed properties:
Space group: C2/m, No. 12
Calculated volume in Å³ per cell: 109.3
ΔH_f (0 K) in kJ per mole of atoms: 1.6

Unit cell a=5.790 b=5.790 c=6.055 alpha=97.36 beta=97.36 gamma=32.90
Fractional coordinates of all 4 atoms:
Tl  0.000  0.000  0.000
Tl  0.248  0.248  0.746
Tl  0.752  0.752  0.254
In  0.500  0.500  0.500



This record from Alexandria describes a relaxed KRh2Se crystal. The functional is GGA-PBEsol.

Computed properties:
Space group: I-4m2, No. 119
Calculated volume in Å³ per cell: 67.3
Uncorrected formation energy in meV per atom: 582

Unit cell a=5.128 b=5.128 c=5.128 alpha=134.59 beta=134.59 gamma=66.17
Fractional coordinates of all 4 atoms:
K  0.000  0.000  0.000
Rh  0.500  0.500  0.000
Rh  0.750  0.250  0.500
Se  0.250  0.750  0.500



This record from Alexandria describes a relaxed NaVZnP2O9 crystal. The functional is GGA-PBEsol.

Computed properties:
Space group: P2_1/c, No. 14
Calculated volume in Å³ per cell: 686.4
Uncorrected formation energy in meV per atom: -2131

Unit cell a=8.679 b=8.892 c=8.903 alpha=90.00 beta=92.61 gamma=90.00
Fractional coordinates of all 56 atoms:
Na  0.189  0.036  0.035
Na  0.189  0.464  0.535
Na  0.811  0.536  0.465
Na  0.811  0.964  0.965
V  0.422  0.002  0.749
V  0.422  0.498  0.249
V  0.578  0.502  0.751
V  0.578  0.998  0.251
Zn  0.047  0.633  0.108
Zn  0.047  0.867  0.608
Zn  0.953  0.133  0.392
Zn  0.953  0.367  0.892
P  0.046  0.144  0.730
P  0.046  0.356  0.230
P  0.485  0.749  0.502
P  0.485  0.751  0.002
P  0.515  0.249  0.998
P  0.515  0.251  0.498
P  0.954  0.644  0.770
P  0.954  0.856  0.270
O  0.032  0.645  0.616
O  0.032  0.855  0.116
O  0.070  0.586  0.896
O  0.070  0.914  0.396
O  0.102  0.196  0.207
O  0.102  0.304  0.707
O  0.175  0.019  0.735
O  0.175  0.481  0.235
O  0.376  0.646  0.406
O  0.376  0.854  0.906
O  0.385  0.654  0.104
O  0.385  0.846  0.604
O  0.396  0.011  0.227
O  0.396  0.489  0.727
O  0.397  0.154  0.902
O  0.397  0.346  0.402
O  0.417  0.150  0.598
O  0.417  0.350  0.098
O  0.583  0.650  0.902
O  0.583  0.850  0.402
O  0.603  0.654  0.598
O  0.603  0.846  0.098
O  0.604  0.511  0.273
O  0.604  0.989  0.773
O  0.615  0.154  0.396
O  0.615  0.346  0.896
O  0.624  0.146  0.094
O  0.624  0.354  0.594
O  0.825  0.519  0.765
O  0.825  0.981  0.265
O  0.898  0.696  0.293
O  0.898  0.804  0.793
O  0.930  0.086  0.604
O  0.930  0.414  0.104
O  0.968  0.145  0.884
O  0.968  0.355  0.384



This record from Alexandria describes a relaxed BeTc2Hg crystal. The functional is GGA-PBEsol.

Computed properties:
Offset from the most stable computed form in eV/atom: 0.195
Space group: C2/m, No. 12
Calculated volume in Å³ per cell: 58.0
ΔH_f (0 K) in kJ per mole of atoms: 55.4

Unit cell a=5.101 b=5.101 c=2.694 alpha=98.53 beta=98.53 gamma=119.92
Fractional coordinates of all 4 atoms:
Be  0.000  0.000  0.000
Tc  0.000  0.500  0.500
Tc  0.500  0.000  0.500
Hg  0.500  0.500  0.000



Which value of calculated volume does entry 12 give?
58.0 Å³ per cell